(1)
This record from Alexandria via LeMat-Bulk describes a relaxed Co2TeI crystal. The functional is GGA-PBE.

Cell and atoms, written as extended XYZ:
```
8
Lattice="5.836 0.000 0.000 0.000 5.836 0.000 2.918 2.918 5.777" Properties=species:S:1:pos:R:3 pbc="T T T"
I 0.000 0.000 0.000
I 5.836 2.918 2.888
Te 2.918 2.918 0.000
Te 2.918 5.836 2.888
Co 4.326 1.459 1.444
Co 1.511 4.377 1.444
Co 4.377 4.429 4.333
Co 7.295 7.244 4.333
```

Results
* distance to the lowest polymorph of the same formula: 0.0 meV/atom
* size of the total moment: 0.849 μB/atom
* space-group type: I-42d, No. 122
* ΔE_f (raw): 0.30 eV per atom

(2)
This record from Alexandria via LeMat-Bulk describes a relaxed Ba2CrH crystal. The functional is GGA-PBE.

Cell and atoms, written as extended XYZ:
```
8
Lattice="8.036 0.000 0.000 0.000 8.036 0.000 4.018 4.018 4.245" Properties=species:S:1:pos:R:3 pbc="T T T"
Cr 0.000 0.000 0.000
Cr 8.036 4.018 2.122
Ba 5.252 2.009 1.061
Ba 2.785 6.027 1.061
Ba 6.027 6.803 3.184
Ba 10.046 9.270 3.184
H 4.018 4.018 0.000
H 4.018 8.036 2.122
```

Results
* distance to the lowest polymorph of the same formula: 0.0 meV/atom
* size of the total moment: 1.203 μB/atom
* space-group type: I-42d, No. 122

(3)
This record from Alexandria via LeMat-Bulk describes a relaxed Ti2BiC crystal. The functional is GGA-PBE.

Cell and atoms, written as extended XYZ:
```
4
Lattice="3.313 0.000 0.000 -1.657 2.840 0.007 0.000 -1.873 6.947" Properties=species:S:1:pos:R:3 pbc="T T T"
Ti 0.828 -0.460 2.448
Ti 0.828 1.428 4.506
Bi 0.828 1.420 0.004
C -0.828 0.484 3.477
```

Results
* size of the total moment: 0.000 μB/atom
* space-group type: C2/m, No. 12
* formation energy from the elements: -0.514 eV/atom

(4)
This record from Alexandria via LeMat-Bulk describes a relaxed Ho8GeTe4Se3 crystal. The functional is GGA-PBE.

Cell and atoms, written as extended XYZ:
```
16
Lattice="-1.336 -0.571 8.217 2.877 -8.014 -0.090 4.814 6.107 -3.030" Properties=species:S:1:pos:R:3 pbc="T T T"
Ho 6.467 0.114 -1.100
Ho 4.014 -2.998 0.444
Ho 2.986 0.765 0.539
Ho 5.787 -0.177 3.087
Ho 0.568 -2.301 2.011
Ho 3.368 -3.243 4.559
Ho 2.341 0.520 4.654
Ho -0.113 -2.592 6.197
Ge 1.438 -4.007 -0.045
Te -0.668 -0.286 4.109
Te 1.739 2.768 2.594
Te 0.000 0.000 0.000
Te 2.407 3.054 -1.515
Se 0.771 -4.293 4.064
Se 3.177 -1.239 2.549
Se 3.845 -0.954 -1.560
```

Results
* size of the total moment: 0.000 μB/atom
* space-group type: R-3m, No. 166
* ΔE_f (raw): -1.45 eV per atom

(5)
This record from Alexandria via LeMat-Bulk describes a relaxed KBiSeN2 crystal. The functional is GGA-PBE.

Cell and atoms, written as extended XYZ:
```
5
Lattice="4.686 0.000 0.000 0.000 4.686 0.000 0.000 0.000 5.692" Properties=species:S:1:pos:R:3 pbc="T T T"
K 2.343 2.343 2.846
Bi 0.000 0.000 0.000
Se 0.000 0.000 2.846
N 0.000 2.343 0.000
N 2.343 0.000 0.000
```

Results
* distance to the lowest polymorph of the same formula: 0.0 meV/atom
* size of the total moment: 0.664 μB/atom
* space-group type: P4/mmm, No. 123
* ΔE_f (raw): 0.97 eV per atom

(6)
This record from Alexandria via LeMat-Bulk describes a relaxed PrGeAu3 crystal. The functional is GGA-PBE.

Cell and atoms, written as extended XYZ:
```
10
Lattice="6.416 0.612 0.000 2.916 5.743 0.000 0.000 0.000 6.207" Properties=species:S:1:pos:R:3 pbc="T T T"
Pr 0.863 1.347 0.325
Pr 5.550 4.541 3.429
Ge 6.046 1.126 3.429
Ge 6.783 5.375 0.325
Au 1.676 1.906 3.429
Au 4.737 3.983 0.325
Au 4.034 1.722 4.981
Au 4.034 1.723 1.877
Au 2.378 4.166 1.877
Au 2.378 4.166 4.980
```

Results
* distance to the lowest polymorph of the same formula: 17.7 meV/atom
* size of the total moment: 0.000 μB/atom
* space-group type: P2_1/m, No. 11
* formation energy from the elements: -0.505 eV/atom

(7)
This record from Alexandria via LeMat-Bulk describes a relaxed CsNaHg2 crystal. The functional is GGA-PBE.

Cell and atoms, written as extended XYZ:
```
4
Lattice="6.057 0.000 0.000 3.029 5.246 0.000 3.029 1.749 4.946" Properties=species:S:1:pos:R:3 pbc="T T T"
Cs 6.057 3.497 2.473
Na 0.000 0.000 0.000
Hg 3.029 1.749 1.236
Hg 9.086 5.246 3.709
```

Results
* distance to the lowest polymorph of the same formula: 63.7 meV/atom
* size of the total moment: 0.000 μB/atom
* space-group type: Fm-3m, No. 225
* formation energy from the elements: -0.172 eV/atom

(8)
This record from Alexandria via LeMat-Bulk describes a relaxed Sb2IF crystal. The functional is GGA-PBE.

Cell and atoms, written as extended XYZ:
```
4
Lattice="0.000 3.673 3.673 3.673 0.000 3.673 3.673 3.673 0.000" Properties=species:S:1:pos:R:3 pbc="T T T"
I 3.673 3.673 3.673
Sb 1.836 1.836 1.836
Sb 5.509 5.509 5.509
F 0.000 0.000 0.000
```

Results
* distance to the lowest polymorph of the same formula: 409.9 meV/atom
* size of the total moment: 0.000 μB/atom
* space-group type: Fm-3m, No. 225
* ΔE_f (raw): 0.00 eV per atom

Q: The highest size of the total moment belongs to which entry?
A: Ba2CrH